# CrOs2 | Alexandria via LeMat-Bulk | PBE-GGA | optimized geometry
data_CrOs2
_chemical_formula_sum 'Cr4 Os8'
_cell_length_a 9.7633
_cell_length_b 2.7088
_cell_length_c 6.3485
_cell_angle_alpha 90.00
_cell_angle_beta 104.33
_cell_angle_gamma 90.00
_space_group_name_H-M_alt 'C 1 2/m 1'
_space_group_IT_number 12
_space_group_name_Hall '-C 2y'
loop_
_atom_site_label
_atom_site_fract_x
_atom_site_fract_y
_atom_site_fract_z
Cr1 0.0322 0.0000 0.3037
Os1 0.1374 0.5000 0.0278
Os2 0.1904 0.5000 0.6337
# calculated formation energy = 0.2 kcal/mol of atoms
# density of states at the Fermi level = 2.54 states/eV/f.u.
# crystal system = monoclinic
# M_tot = 0.0 μB per cell
# final energy = -10.6848 eV/atom